(1)
# PBE MnBe4P, optimized geometry
# **Electronic total energy**: -29.83 eV per formula unit
# **Size of the total moment**: 0.000 μB per formula unit
# **ΔH_f (0 K)**: -0.06 eV/atom
data_MnBe4P
_cell_length_a 5.879
_cell_length_b 5.879
_cell_length_c 5.879
_cell_angle_alpha 90.00
_cell_angle_beta 90.00
_cell_angle_gamma 90.00
_symmetry_space_group_name_H-M 'F -4 3 m'
_symmetry_Int_Tables_number 216
_symmetry_space_group_name_Hall 'F -4 2 3'
loop_
_atom_site_label
_atom_site_fract_x
_atom_site_fract_y
_atom_site_fract_z
_atom_site_occupancy
Mn1 0.000 0.000 0.000 1
Be1 0.126 0.126 0.374 1
P1 0.250 0.250 0.750 1

(2)
# PBE MnBeP2, optimized geometry
# **Electronic total energy**: -22.96 eV per formula unit
# **Size of the total moment**: 2.660 μB per formula unit
# **ΔH_f (0 K)**: 0.19 eV/atom
data_MnBeP2
_cell_length_a 3.398
_cell_length_b 3.398
_cell_length_c 8.450
_cell_angle_alpha 90.00
_cell_angle_beta 90.00
_cell_angle_gamma 90.00
_symmetry_space_group_name_H-M 'I -4 m 2'
_symmetry_Int_Tables_number 119
_symmetry_space_group_name_Hall 'I -4 -2'
loop_
_atom_site_label
_atom_site_fract_x
_atom_site_fract_y
_atom_site_fract_z
_atom_site_occupancy
Mn1 0.000 0.000 0.000 1
Be1 0.000 0.500 0.250 1
P1 0.000 0.000 0.500 1
P2 0.000 0.500 0.750 1

(3)
# PBE MnBeP, optimized geometry
# **Electronic total energy**: -19.70 eV per formula unit
# **Size of the total moment**: 0.000 μB per formula unit
# **Energy above the lowest structure with this stoichiometry**: 0 meV/atom
# **ΔH_f (0 K)**: -0.46 eV/atom
data_MnBeP
_cell_length_a 2.863
_cell_length_b 2.863
_cell_length_c 7.071
_cell_angle_alpha 90.00
_cell_angle_beta 90.00
_cell_angle_gamma 90.00
_symmetry_space_group_name_H-M 'I 4 m m'
_symmetry_Int_Tables_number 107
_symmetry_space_group_name_Hall 'I 4 -2'
loop_
_atom_site_label
_atom_site_fract_x
_atom_site_fract_y
_atom_site_fract_z
_atom_site_occupancy
Mn1 0.000 0.000 0.000 1
Be1 0.000 0.000 0.670 1
P1 0.000 0.000 0.340 1

(4)
# PBE MnBeP, optimized geometry
# **Electronic total energy**: -18.12 eV per formula unit
# **Size of the total moment**: 0.493 μB per formula unit
# **Energy above the lowest structure with this stoichiometry**: 526 meV/atom
# **ΔH_f (0 K)**: 0.06 eV/atom
data_MnBeP
_cell_length_a 2.6701
_cell_length_b 2.6701
_cell_length_c 5.3776
_cell_angle_alpha 90.00
_cell_angle_beta 90.00
_cell_angle_gamma 120.00
_symmetry_space_group_name_H-M 'P 3 m 1'
_symmetry_Int_Tables_number 156
loop_
_symmetry_equiv_pos_as_xyz
'x,y,z'
'-y,x-y,z'
'-x+y,-x,z'
'-y,-x,z'
'-x+y,y,z'
'x,x-y,z'
loop_
_atom_site_label
_atom_site_fract_x
_atom_site_fract_y
_atom_site_fract_z
_atom_site_occupancy
Mn1 0.0000 0.0000 0.0000 1
Be1 0.3333 0.6667 0.6669 1
P1 0.6667 0.3333 0.3054 1

(5)
# PBE MnBeP2, optimized geometry
# **Electronic total energy**: -24.15 eV per formula unit
# **Size of the total moment**: 0.000 μB per formula unit
# **ΔH_f (0 K)**: -0.11 eV/atom
data_MnBeP2
_cell_length_a 3.737
_cell_length_b 2.955
_cell_length_c 8.198
_cell_angle_alpha 90.00
_cell_angle_beta 90.00
_cell_angle_gamma 90.00
_symmetry_space_group_name_H-M 'A m m 2'
_symmetry_Int_Tables_number 38
loop_
_symmetry_equiv_pos_as_xyz
'x,y,z'
'-x,-y,z'
'-x,y,z'
'x,-y,z'
'x,y+1/2,z+1/2'
'-x,-y+1/2,z+1/2'
'-x,y+1/2,z+1/2'
'x,-y+1/2,z+1/2'
loop_
_atom_site_label
_atom_site_fract_x
_atom_site_fract_y
_atom_site_fract_z
_atom_site_occupancy
Mn1 0.000 0.000 0.000 1
Be1 0.500 0.000 0.840 1
P1 0.000 0.000 0.288 1
P2 0.500 0.000 0.578 1

(6)
# PBE MnBe2P, optimized geometry
# **Electronic total energy**: -21.02 eV per formula unit
# **Size of the total moment**: 0.226 μB per formula unit
# **ΔH_f (0 K)**: 0.25 eV/atom
data_MnBe2P
_cell_length_a 2.947
_cell_length_b 3.860
_cell_length_c 7.254
_cell_angle_alpha 90.00
_cell_angle_beta 90.00
_cell_angle_gamma 90.00
_symmetry_space_group_name_H-M 'C m m m'
_symmetry_Int_Tables_number 65
_symmetry_space_group_name_Hall '-C 2 2'
loop_
_atom_site_label
_atom_site_fract_x
_atom_site_fract_y
_atom_site_fract_z
_atom_site_occupancy
Mn1 0.000 0.000 0.000 1
Be1 0.000 0.500 0.234 1
P1 0.000 0.000 0.500 1